# Pu2GeRh

Crystalline Pu2GeRh at its relaxed geometry (PBE, Alexandria via LeMat-Bulk).

It has space group R-3m (No. 166, hexagonal axes), with a = 2.9407 Å, b = 2.9407 Å, c = 32.7028 Å, α = 90.00°, β = 90.00° and γ = 120.00°. The inequivalent atoms are Pu at (0.0000, 0.0000, 0.0921), Ge at (0.0000, 0.0000, 0.0000) and Rh at (0.0000, 0.0000, 0.5000).

As for the total energy: -120.03 eV per cell.

***

# Ho3Pb7

Crystalline Ho3Pb7 at its relaxed geometry (PBE, Alexandria via LeMat-Bulk).

It has space group P6_3mc (No. 186), with a = 10.0727 Å, b = 10.0727 Å, c = 6.9139 Å, α = 90.00°, β = 90.00° and γ = 120.00°. The inequivalent atoms are Ho at (0.2103, 0.4206, 0.0000), Pb at (0.0547, 0.5274, 0.3179), Pb at (0.1220, 0.2440, 0.5060) and Pb at (0.3333, 0.6667, 0.6510).

As for the total energy: -83.42 eV per cell.

***

no.,mass density (g cm⁻³),calculated formation energy (kJ per mole of atoms)
1,13.50,15.0
2,10.63,-19.5